No. 1
Here is a relaxed structure of MgB2F8 from the Alexandria database. Energies are from PBE-GGA.

The structure belongs to space group C2/m (No. 12); the cell edges are 9.677, 6.073 and 4.729 Å and the angles 90.00°, 100.35° and 90.00°. The distinct sites, in fractional coordinates, are Mg at (0.000, 0.000, 0.000), B at (0.191, 0.000, 0.664), F at (0.124, 0.184, 0.780), F at (0.147, 0.000, 0.356) and F at (0.168, 0.500, 0.264).

The energy above the most stable polymorph in this dataset comes out at 12 meV/atom. The density of states at the Fermi level comes out at 0.000 states/eV/atom. As for the formation energy from raw total energies: -2991 meV/atom.


No. 2
Here is a relaxed structure of MgBF from the Alexandria database. Energies are from PBE-GGA.

The structure belongs to space group R3m (No. 160, hexagonal axes); the cell edges are 3.0808, 3.0808 and 24.9741 Å and the angles 90.00°, 90.00° and 120.00°. The distinct sites, in fractional coordinates, are Mg at (0.0000, 0.0000, 0.0000), Mg at (0.0000, 0.0000, 0.1412), B at (0.0000, 0.0000, 0.4039), B at (0.0000, 0.0000, 0.7373), F at (0.0000, 0.0000, 0.2932) and F at (0.0000, 0.0000, 0.5146).

The energy above the most stable polymorph in this dataset comes out at 0 meV/atom. The density of states at the Fermi level comes out at 0.093 states/eV/atom. As for the formation energy from raw total energies: -1704 meV/atom.


No. 3
Here is a relaxed structure of MgBF2 from the Alexandria database. Energies are from PBE-GGA.

The structure belongs to space group Fm-3m (No. 225); the cell edges are 5.687, 5.687 and 5.687 Å and the angles 90.00°, 90.00° and 90.00°. The distinct sites, in fractional coordinates, are Mg at (0.000, 0.000, 0.000), B at (0.000, 0.000, 0.500) and F at (0.250, 0.250, 0.250).

The energy above the most stable polymorph in this dataset comes out at 745 meV/atom. The density of states at the Fermi level comes out at 0.480 states/eV/atom. As for the formation energy from raw total energies: -635 meV/atom.